Density functional theory data (PBE) for an optimized crystal structure of TlInGa2Cu.

Summary:
mass density: 7.2 Mg/m³
electronic total energy: -14.65 eV per cell
formation energy from the elements: 12 kJ/mol of atoms

Cell: 4.7525 4.7525 5.3235 Å, 90.00 90.00 90.00°
With the nearest neighbours (Å) after each atom.
Positions (direct):
Tl 0.0000 0.0000 0.0000  4 In 3.36, 8 Ga 3.57
In 0.5000 0.5000 0.0000  2 Cu 2.66
Ga 0.0000 0.5000 0.5000  2 Cu 2.38
Ga 0.5000 0.0000 0.5000  2 Cu 2.38
Cu 0.5000 0.5000 0.5000  4 Ga 2.38



Density functional theory data (PBE) for an optimized crystal structure of CeY4N4.

Summary:
mass density: 6.0 Mg/m³
electronic total energy: -77.91 eV per cell
energy above the lowest structure with this stoichiometry: 0.0 meV per atom
raw formation energy: -1.424 eV/atom

Cell: 6.0924 6.0924 6.0924 Å, 99.45 99.45 132.20°
With the nearest neighbours (Å) after each atom.
Positions (direct):
Ce 0.0000 0.0000 0.0000  4 N 2.46
Y 0.1877 0.6078 0.7954  5 N 2.37-2.55
Y 0.3922 0.1877 0.5799  5 N 2.37-2.55
Y 0.6078 0.8123 0.4201  5 N 2.37-2.55
Y 0.8123 0.3922 0.2046  5 N 2.37-2.55
N 0.0973 0.2971 0.3944  5 Y 2.37-2.55, 1 Ce 2.46
N 0.2971 0.9027 0.1998  5 Y 2.37-2.55, 1 Ce 2.46
N 0.7029 0.0973 0.8002  5 Y 2.37-2.55, 1 Ce 2.46
N 0.9027 0.7029 0.6056  5 Y 2.37-2.55, 1 Ce 2.46



Density functional theory data (PBE) for an optimized crystal structure of Ho2Tl3ZnSe6.

Summary:
mass density: 7.4 Mg/m³
electronic total energy: -50.30 eV per cell
raw formation energy: -0.989 eV/atom

Cell: 7.1391 7.1391 7.8605 Å, 98.85 98.85 119.92°
With the nearest neighbours (Å) after each atom.
Positions (direct):
Ho 0.1654 0.8346 0.0000  6 Se 2.86-2.87
Ho 0.8346 0.1654 0.0000  6 Se 2.86-2.87
Tl 0.0000 0.0000 0.5000  6 Se 3.23-3.28
Tl 0.3278 0.6722 0.5000  6 Se 3.24-3.29
Tl 0.6722 0.3278 0.5000  6 Se 3.24-3.29
Zn 0.5000 0.5000 0.0000  6 Se 2.73-2.80
Se 0.1131 0.4331 0.7989  1 Zn 2.73, 2 Ho 2.86-2.87
Se 0.2454 0.2454 0.2088  1 Zn 2.80, 2 Ho 2.86
Se 0.4331 0.1131 0.7989  1 Zn 2.73, 2 Ho 2.86-2.87
Se 0.5669 0.8869 0.2011  1 Zn 2.73, 2 Ho 2.86-2.87
Se 0.7546 0.7546 0.7912  1 Zn 2.80, 2 Ho 2.86
Se 0.8869 0.5669 0.2011  1 Zn 2.73, 2 Ho 2.86-2.87



Density functional theory data (PBE) for an optimized crystal structure of CsCSe.

Summary:
mass density: 4.3 Mg/m³
electronic total energy: -46.22 eV per cell
energy above the lowest structure with this stoichiometry: 922.7 meV per atom
raw formation energy: 0.669 eV/atom

Cell: 10.2109 4.2714 7.8931 Å, 90.00 90.00 90.00°
With the nearest neighbours (Å) after each atom.
Positions (direct):
Cs 0.2131 0.2500 0.0735  4 C 3.15-3.49, 1 Se 3.44
Cs 0.2869 0.7500 0.5735  4 C 3.15-3.49, 1 Se 3.44
Cs 0.7131 0.2500 0.4265  4 C 3.15-3.49, 1 Se 3.44
Cs 0.7869 0.7500 0.9265  4 C 3.15-3.49, 1 Se 3.44
C 0.0478 0.2500 0.4104  1 Se 1.95
C 0.4522 0.7500 0.9104  1 Se 1.95
C 0.5478 0.2500 0.0896  1 Se 1.95
C 0.9522 0.7500 0.5896  1 Se 1.95
Se 0.0028 0.2500 0.6501  1 C 1.95
Se 0.4972 0.7500 0.1501  1 C 1.95
Se 0.5028 0.2500 0.8499  1 C 1.95
Se 0.9972 0.7500 0.3499  1 C 1.95



Density functional theory data (PBE) for an optimized crystal structure of Sc3Cd4.

Summary:
mass density: 6.2 Mg/m³
electronic total energy: -23.72 eV per cell
energy above the lowest structure with this stoichiometry: 0.0 meV per atom
formation energy from the elements: -15 kJ/mol of atoms

Cell: 11.7996 11.7996 11.7996 Å, 161.98 161.98 25.59°
With the nearest neighbours (Å) after each atom.
Positions (direct):
Sc 0.0000 0.0000 0.0000  10 Cd 3.07-3.27
Sc 0.2870 0.2870 0.0000  6 Cd 3.08-3.33, 4 Sc 3.12
Sc 0.7130 0.7130 0.0000  6 Cd 3.08-3.33, 4 Sc 3.12
Cd 0.1423 0.1423 0.0000  6 Sc 3.08-3.33, 4 Cd 3.10
Cd 0.4298 0.4298 0.0000  5 Sc 3.07-3.29, 5 Cd 3.10-3.23
Cd 0.5702 0.5702 0.0000  5 Sc 3.07-3.29, 5 Cd 3.10-3.23
Cd 0.8577 0.8577 0.0000  6 Sc 3.08-3.33, 4 Cd 3.10



Density functional theory data (PBE) for an optimized crystal structure of BaPrPa4N8.

Summary:
mass density: 8.4 Mg/m³
electronic total energy: -131.25 eV per cell
raw formation energy: -1.426 eV/atom

Cell: 7.1618 7.1618 7.1618 Å, 59.79 59.79 59.79°
With the nearest neighbours (Å) after each atom.
Positions (direct):
Ba 0.0000 0.0000 0.0000  4 N 2.63-2.69
Pr 0.6234 0.6234 0.6234  6 N 2.44-2.60
Pa 0.1142 0.6255 0.6255  5 N 2.19-2.44
Pa 0.2425 0.2425 0.2425  4 N 2.26-2.44
Pa 0.6255 0.1142 0.6255  5 N 2.19-2.44
Pa 0.6255 0.6255 0.1142  5 N 2.19-2.44
N 0.3673 0.3673 0.8543  3 Pa 2.26-2.44
N 0.3673 0.8543 0.3673  3 Pa 2.26-2.44
N 0.3813 0.3813 0.3813  4 Pa 2.44-2.47
N 0.4495 0.8606 0.8606  2 Pa 2.19, 1 Pr 2.44
N 0.8470 0.8470 0.8470  3 Pa 2.26
N 0.8543 0.3673 0.3673  3 Pa 2.26-2.44
N 0.8606 0.4495 0.8606  2 Pa 2.19, 1 Pr 2.44
N 0.8606 0.8606 0.4495  2 Pa 2.19, 1 Pr 2.44



Density functional theory data (PBE) for an optimized crystal structure of CdP2F.

Summary:
mass density: 4.7 Mg/m³
electronic total energy: -31.04 eV per cell
energy above the lowest structure with this stoichiometry: 0.0 meV per atom
raw formation energy: -0.478 eV/atom

Cell: 11.2866 11.2866 11.2866 Å, 162.02 162.02 25.53°
With the nearest neighbours (Å) after each atom.
Positions (direct):
Cd 0.0000 0.0000 0.0000  4 F 2.49
Cd 0.7500 0.2500 0.5000  4 F 2.49
P 0.0671 0.6250 0.9421  2 P 2.22
P 0.3750 0.3171 0.4421  2 P 2.22
P 0.6829 0.1250 0.0579  2 P 2.22
P 0.8750 0.9329 0.5579  2 P 2.22
F 0.2500 0.7500 0.5000  4 Cd 2.49
F 0.5000 0.5000 0.0000  4 Cd 2.49



Density functional theory data (PBE) for an optimized crystal structure of LaTaTe2.

Summary:
mass density: 8.9 Mg/m³
electronic total energy: -21.94 eV per cell
energy above the lowest structure with this stoichiometry: 816.8 meV per atom
raw formation energy: 0.280 eV/atom

Cell: 5.3279 5.3279 5.3279 Å, 60.00 60.00 60.00°
With the nearest neighbours (Å) after each atom.
Positions (direct):
La 0.0000 0.0000 0.0000  4 Ta 3.26, 4 Te 3.26
Ta 0.7500 0.7500 0.7500  4 La 3.26, 4 Te 3.26
Te 0.2500 0.2500 0.2500  4 Te 3.26, 4 La 3.26
Te 0.5000 0.5000 0.5000  4 Ta 3.26, 4 Te 3.26



Density functional theory data (PBE) for an optimized crystal structure of Ti2CuAgH.

Summary:
mass density: 6.8 Mg/m³
electronic total energy: -26.17 eV per cell
energy above the lowest structure with this stoichiometry: 43.4 meV per atom

Cell: 3.9276 3.9276 4.2407 Å, 90.00 90.00 90.00°
With the nearest neighbours (Å) after each atom.
Positions (direct):
Ti 0.0000 0.5000 0.0000  2 H 1.96
Ti 0.5000 0.0000 0.0000  2 H 1.96
Cu 0.0000 0.0000 0.5000  4 Ag 2.78, 8 Ti 2.89
Ag 0.5000 0.5000 0.5000  2 H 2.12
H 0.5000 0.5000 0.0000  4 Ti 1.96, 2 Ag 2.12



Density functional theory data (PBE) for an optimized crystal structure of TlSb2Mo.

Summary:
mass density: 6.2 Mg/m³
electronic total energy: -38.57 eV per cell
energy above the lowest structure with this stoichiometry: 455.8 meV per atom
raw formation energy: 0.539 eV/atom

Cell: 8.0786 8.0786 8.0786 Å, 131.57 131.57 70.91°
With the nearest neighbours (Å) after each atom.
Positions (direct):
Tl 0.0000 0.0000 0.0000  4 Sb 3.17
Tl 0.7500 0.2500 0.5000  4 Sb 3.17
Sb 0.1993 0.6250 0.0743  2 Mo 2.61
Sb 0.3750 0.4493 0.5743  2 Mo 2.61
Sb 0.5507 0.1250 0.9257  2 Mo 2.61
Sb 0.8750 0.8007 0.4257  2 Mo 2.61
Mo 0.2500 0.7500 0.5000  4 Sb 2.61
Mo 0.5000 0.5000 0.0000  4 Sb 2.61



Density functional theory data (PBE) for an optimized crystal structure of La3GaI.

Summary:
mass density: 4.8 Mg/m³
electronic total energy: -19.06 eV per cell
energy above the lowest structure with this stoichiometry: 639.1 meV per atom
raw formation energy: 0.060 eV/atom

Cell: 5.9575 5.9575 5.9575 Å, 90.00 90.00 90.00°
With the nearest neighbours (Å) after each atom.
Positions (direct):
La 0.0000 0.0000 0.5000  2 I 2.98
La 0.0000 0.5000 0.0000  2 I 2.98
La 0.5000 0.0000 0.0000  2 I 2.98
Ga 0.5000 0.5000 0.5000  12 La 4.21
I 0.0000 0.0000 0.0000  6 La 2.98



Density functional theory data (PBE) for an optimized crystal structure of Ba3Te2I.

Summary:
mass density: 5.0 Mg/m³
electronic total energy: -23.57 eV per cell
energy above the lowest structure with this stoichiometry: 0.0 meV per atom
raw formation energy: -1.661 eV/atom

Cell: 8.6508 8.6508 8.6508 Å, 146.46 131.97 59.85°
With the nearest neighbours (Å) after each atom.
Positions (direct):
Ba 0.0000 0.0000 0.0000  4 Te 3.50, 2 I 3.52
Ba 0.3221 0.3221 0.0000  4 Te 3.45-3.53, 2 I 3.65
Ba 0.6779 0.6779 0.0000  4 Te 3.45-3.53, 2 I 3.65
Te 0.1633 0.6633 0.5000  6 Ba 3.45-3.53
Te 0.8367 0.3367 0.5000  6 Ba 3.45-3.53
I 0.5000 0.0000 0.5000  6 Ba 3.52-3.65